Compound: Na4TaNi3O8
Source: the Alexandria database
Functional: PBE+U
Structure: relaxed

Output
magnetic moment: 5.0 μB/f.u.
energy: -91.1 eV/f.u.
SG: R-3m (166)
crystal system: trigonal
density of states at the Fermi level: 4.0 states/eV/cell

Cell: 6.1292 6.4611 6.1310 Å, 118.33 119.99 90.00°
Fractional positions:
O 0.2463 0.2910 0.0186
O 0.7724 0.2911 0.5447
O 0.2717 0.3152 0.5434
O 0.7537 0.7090 0.9814
O 0.2276 0.7089 0.4553
O 0.7283 0.6848 0.4566
O 0.2277 0.7090 0.9814
O 0.7723 0.2910 0.0186
Ni 0.0000 0.5000 0.5000
Ni 0.5000 0.5000 0.0000
Ni 0.5000 0.5000 0.5000
Na 0.0000 0.0000 0.5000
Na 0.5000 0.0000 0.5000
Na 0.5000 0.0000 0.0000
Na 0.0000 0.0000 0.0000
Ta 0.0000 0.5000 0.0000